Compound: Pr2Sm2Te5
Source: Alexandria via LeMat-Bulk
Functional: PBE
Structure: optimized geometry

Lattice parameters (Å, degrees): 9.088 9.088 8.380 90.00 90.00 54.85
Fractional coordinates of all 18 atoms:
Pr 0.197 0.197 0.000
Pr 0.303 0.303 0.500
Pr 0.697 0.697 0.500
Pr 0.803 0.803 0.000
Sm 0.147 0.853 0.651
Sm 0.353 0.647 0.151
Sm 0.647 0.353 0.849
Sm 0.853 0.147 0.349
Te 0.000 0.000 0.000
Te 0.020 0.704 0.345
Te 0.204 0.520 0.845
Te 0.296 0.980 0.345
Te 0.480 0.796 0.845
Te 0.500 0.500 0.500
Te 0.520 0.204 0.155
Te 0.704 0.020 0.655
Te 0.796 0.480 0.155
Te 0.980 0.296 0.655

Values from the calculation:
E_tot in eV per atom: -5.241

Compound: Pr2SmTe
Source: Alexandria via LeMat-Bulk
Functional: PBE
Structure: optimized geometry

Lattice parameters (Å, degrees): 10.274 10.274 10.274 22.74 22.74 22.74
Fractional coordinates of all 4 atoms:
Pr 0.000 0.000 0.000
Pr 0.190 0.190 0.190
Sm 0.428 0.428 0.428
Te 0.595 0.595 0.595

Values from the calculation:
E_tot in eV per atom: -4.915
Excess energy over the best structure of this formula in the dataset in meV per atom: 26

no.,total magnetization (Bohr magnetons per cell)
1,0.00
2,0.39